Record 1
GGA-PBE NdSm6Tm4, relaxed; space group = I-42m; formation enthalpy at 0 K = 0.318 eV/atom; DOS at the Fermi energy = 17.6 states/eV/cell; total DFT energy (no corrections) = -47.5 eV per formula unit; calculated density = 7.61 Mg/m³
1.0
-3.311 3.311 8.572
3.311 -3.311 8.572
3.311 3.311 -8.572
Nd Sm Tm
1 6 4
direct
0.000 0.000 0.000
0.000 0.500 0.500
0.013 0.635 0.000
0.365 0.365 0.378
0.500 0.000 0.500
0.635 0.013 0.000
0.987 0.987 0.622
0.192 0.192 0.641
0.449 0.808 0.000
0.551 0.551 0.359
0.808 0.449 0.000



Record 2
GGA-PBE Nd2Sm7Tm2, relaxed; space group = C2/c; formation enthalpy at 0 K = 0.089 eV/atom; DOS at the Fermi energy = 30.4 states/eV/cell; total DFT energy (no corrections) = -50.5 eV per formula unit; calculated density = 7.60 Mg/m³
1.0
4.769 -5.954 0.000
4.769 5.954 0.000
-0.074 0.000 12.919
Nd Sm Tm
4 14 4
direct
0.112 0.330 0.443
0.330 0.112 0.943
0.670 0.888 0.057
0.888 0.670 0.557
0.041 0.239 0.153
0.090 0.795 0.118
0.205 0.910 0.382
0.239 0.041 0.653
0.295 0.542 0.963
0.408 0.592 0.250
0.458 0.705 0.537
0.542 0.295 0.463
0.592 0.408 0.750
0.705 0.458 0.037
0.761 0.959 0.347
0.795 0.090 0.618
0.910 0.205 0.882
0.959 0.761 0.847
0.158 0.471 0.705
0.471 0.158 0.205
0.529 0.842 0.795
0.842 0.529 0.295



Record 3
GGA-PBE Nd2SmTm4, relaxed; space group = Fdd2; formation enthalpy at 0 K = 0.266 eV/atom; DOS at the Fermi energy = 27.5 states/eV/cell; total DFT energy (no corrections) = -30.3 eV per formula unit; calculated density = 8.00 Mg/m³
1.0
0.000 6.897 4.876
6.881 0.000 4.876
6.881 6.897 0.000
Nd Sm Tm
4 2 8
direct
0.250 0.750 0.374
0.624 0.876 0.500
0.750 0.250 0.626
0.876 0.624 0.000
0.125 0.125 0.875
0.375 0.375 0.125
0.001 0.165 0.249
0.001 0.665 0.249
0.165 0.001 0.585
0.335 0.500 0.750
0.500 0.335 0.414
0.500 0.836 0.915
0.665 0.001 0.085
0.836 0.500 0.750



Record 4
GGA-PBE Nd3Sm8Tm4, relaxed; space group = C2/m; formation enthalpy at 0 K = 0.350 eV/atom; DOS at the Fermi energy = 23.9 states/eV/cell; total DFT energy (no corrections) = -64.7 eV per formula unit; calculated density = 7.55 Mg/m³
1.0
6.875 -6.109 0.000
6.875 6.109 0.000
-3.218 0.000 6.049
Nd Sm Tm
3 8 4
direct
0.000 0.000 0.000
0.000 0.500 0.500
0.500 0.000 0.500
0.204 0.204 0.671
0.205 0.795 0.500
0.253 0.747 0.000
0.256 0.256 0.202
0.744 0.744 0.798
0.747 0.253 0.000
0.795 0.205 0.500
0.796 0.796 0.329
0.000 0.500 0.000
0.500 0.000 0.000
0.500 0.500 0.000
0.500 0.500 0.500



Record 5
GGA-PBE Nd2Sm7Tm2, relaxed; space group = C2/m; formation enthalpy at 0 K = 0.102 eV/atom; DOS at the Fermi energy = 16.3 states/eV/cell; total DFT energy (no corrections) = -50.4 eV per formula unit; calculated density = 7.51 Mg/m³
1.0
3.480 -5.345 0.000
3.480 5.345 0.000
-0.379 0.000 9.974
Nd Sm Tm
2 7 2
direct
0.198 0.198 0.285
0.802 0.802 0.715
0.077 0.666 0.149
0.320 0.320 0.633
0.334 0.923 0.851
0.500 0.500 0.000
0.666 0.077 0.149
0.680 0.680 0.367
0.923 0.334 0.851
0.227 0.773 0.500
0.773 0.227 0.500



Record 6
GGA-PBE Nd2Sm12Tm5, relaxed; space group = C2/m; formation enthalpy at 0 K = 0.116 eV/atom; DOS at the Fermi energy = 27.2 states/eV/cell; total DFT energy (no corrections) = -86.3 eV per formula unit; calculated density = 7.71 Mg/m³
1.0
6.463 -5.821 0.000
6.463 5.821 0.000
-4.130 0.000 8.410
Nd Sm Tm
2 12 5
direct
0.224 0.776 0.000
0.776 0.224 0.000
0.058 0.549 0.198
0.078 0.078 0.782
0.112 0.672 0.583
0.328 0.888 0.417
0.383 0.383 0.059
0.451 0.942 0.802
0.549 0.058 0.198
0.617 0.617 0.941
0.672 0.112 0.583
0.888 0.328 0.417
0.922 0.922 0.218
0.942 0.451 0.802
0.190 0.190 0.235
0.303 0.303 0.660
0.500 0.500 0.500
0.697 0.697 0.340
0.810 0.810 0.765